No. 1
This record from the Alexandria database describes crystalline BaSr7Fe8O24 at its relaxed geometry. The functional is PBEsol.

Unit cell a=7.603 b=7.603 c=7.603 alpha=90.00 beta=90.00 gamma=90.00
Sites, in units of the cell vectors:
Ba: 0.000 0.000 0.000
Sr: 0.000 0.000 0.500
Sr: 0.000 0.500 0.000
Sr: 0.000 0.500 0.500
Sr: 0.500 0.000 0.000
Sr: 0.500 0.000 0.500
Sr: 0.500 0.500 0.000
Sr: 0.500 0.500 0.500
Fe: 0.251 0.251 0.251
Fe: 0.251 0.251 0.749
Fe: 0.251 0.749 0.251
Fe: 0.251 0.749 0.749
Fe: 0.749 0.251 0.251
Fe: 0.749 0.251 0.749
Fe: 0.749 0.749 0.251
Fe: 0.749 0.749 0.749
O: 0.000 0.254 0.254
O: 0.000 0.254 0.746
O: 0.000 0.746 0.254
O: 0.000 0.746 0.746
O: 0.251 0.251 0.500
O: 0.251 0.500 0.251
O: 0.251 0.500 0.749
O: 0.251 0.749 0.500
O: 0.254 0.000 0.254
O: 0.254 0.000 0.746
O: 0.254 0.254 0.000
O: 0.254 0.746 0.000
O: 0.500 0.251 0.251
O: 0.500 0.251 0.749
O: 0.500 0.749 0.251
O: 0.500 0.749 0.749
O: 0.746 0.000 0.254
O: 0.746 0.000 0.746
O: 0.746 0.254 0.000
O: 0.746 0.746 0.000
O: 0.749 0.251 0.500
O: 0.749 0.500 0.251
O: 0.749 0.500 0.749
O: 0.749 0.749 0.500

Results
DOS(E_F)	0.225	states/eV per atom
formation energy without anion corrections	-2.036	eV per atom

No. 2
This record from the Alexandria database describes crystalline LaZnBr2 at its relaxed geometry. The functional is PBEsol.

Unit cell a=5.491 b=5.491 c=5.491 alpha=133.71 beta=124.06 gamma=75.46
Sites, in units of the cell vectors:
La: 0.000 0.000 0.000
Zn: 0.500 0.500 0.000
Br: 0.271 0.771 0.500
Br: 0.729 0.229 0.500

Results
DOS(E_F)	0.455	states/eV per atom
formation energy without anion corrections	-1.027	eV per atom
polymorph energy (0 for the lowest one)	0	meV per atom

No. 3
This record from the Alexandria database describes crystalline KMg3S at its relaxed geometry. The functional is PBEsol.

Unit cell a=5.224 b=5.224 c=5.224 alpha=90.00 beta=90.00 gamma=90.00
Sites, in units of the cell vectors:
K: 0.000 0.000 0.000
Mg: 0.000 0.500 0.500
Mg: 0.500 0.000 0.500
Mg: 0.500 0.500 0.000
S: 0.500 0.500 0.500

Results
DOS(E_F)	0.606	states/eV per atom
formation energy without anion corrections	-0.017	eV per atom

No. 4
This record from the Alexandria database describes crystalline LaTaSbI2 at its relaxed geometry. The functional is PBEsol.

Unit cell a=5.369 b=5.369 c=5.414 alpha=90.00 beta=90.00 gamma=90.00
Sites, in units of the cell vectors:
La: 0.000 0.000 0.000
Ta: 0.500 0.500 0.500
Sb: 0.500 0.500 0.000
I: 0.000 0.500 0.500
I: 0.500 0.000 0.500

Results
DOS(E_F)	1.091	states/eV per atom
formation energy without anion corrections	0.072	eV per atom